Computed, not measured: an optimized crystal structure of Tl7CdIn3 at the GGA-PBE level of DFT.

Summary:
* mass density: 9383 kg/m³
* ΔE_f: 0.073 eV per atom
* magnetic moment: 0.00 μB per formula unit

Cell: 6.924 6.924 8.045 Å, 90.00 90.00 120.00°
Positions (direct):
1 Tl 0.000 0.000 0.000
2 Tl 0.007 0.504 0.015
3 Tl 0.171 0.342 0.653
4 Tl 0.171 0.829 0.653
5 Tl 0.496 0.504 0.015
6 Tl 0.496 0.993 0.015
7 Tl 0.658 0.829 0.653
8 Cd 0.667 0.333 0.675
9 In 0.339 0.170 0.338
10 In 0.830 0.170 0.338
11 In 0.830 0.661 0.338